DFT (PBEsol) results for a relaxed structure of LaZnNi.

Lattice parameters (Å, degrees): 3.849 4.240 4.240 120.00 90.00 90.00
Positions (direct):
La 0.000 0.000 0.000
Ni 0.500 0.333 0.667
Zn 0.500 0.667 0.333

## Properties
- Total energy: -4.68 eV per atom
- Spin magnetization: 0.00 μB/f.u.
- Energy above the most stable polymorph in this dataset: 0.047 eV per atom